A plane-wave DFT calculation with GGA-PBE was carried out for Tb6ZnIn5 after structural relaxation.

The structure in POSCAR format:
```
Tb6ZnIn5
1.0
5.316 0.000 0.000
0.000 7.440 0.000
-2.627 0.000 7.973
Tb Zn In
6 1 5
Cartesian
0.000 1.804 0.000
0.000 5.635 0.000
0.022 1.827 5.373
0.022 5.612 5.373
2.667 1.827 2.600
2.667 5.612 2.600
2.658 0.000 0.000
0.010 0.000 2.655
0.009 3.720 2.683
2.658 3.720 0.000
2.680 3.720 5.290
2.679 0.000 5.317
```

Properties
Crystal system = monoclinic
Total magnetic moment = 0.00 μB/f.u.
Uncorrected energy = -4.018 eV per atom
Formation enthalpy at 0 K = -44 kJ/mol of atoms

A plane-wave DFT calculation with GGA-PBE was carried out for Tb12ZnIn6 after structural relaxation.

The structure in POSCAR format:
```
Tb12ZnIn6
1.0
5.788 3.342 4.664
-5.788 3.342 4.664
0.000 -6.683 4.664
Tb Zn In
12 1 6
Cartesian
-5.214 1.230 5.968
-3.673 -3.900 8.024
-1.939 -0.380 4.633
1.541 -5.131 5.968
1.298 -1.489 4.633
0.640 1.869 4.633
-0.640 -1.869 9.359
-1.298 1.489 9.359
-1.541 5.131 8.024
1.939 0.380 9.359
3.673 3.900 5.968
5.214 -1.230 8.024
0.000 0.000 6.996
-0.965 -3.116 6.333
-3.181 -0.722 7.659
-2.216 2.394 6.333
2.216 -2.394 7.659
3.181 0.722 6.333
0.965 3.116 7.659
```

Properties
Crystal system = trigonal
Total magnetic moment = 0.00 μB/f.u.
Uncorrected energy = -4.083 eV per atom
Formation enthalpy at 0 K = -22 kJ/mol of atoms

- Look up the formation enthalpy at 0 K of the first one.
  -44 kJ/mol of atoms

- Number 1 is which compound?
  Tb6ZnIn5

What did the first record say?
A plane-wave DFT calculation with GGA-PBE was carried out for Tb6ZnIn5 after structural relaxation.

The structure in POSCAR format:
```
Tb6ZnIn5
1.0
5.316 0.000 0.000
0.000 7.440 0.000
-2.627 0.000 7.973
Tb Zn In
6 1 5
Cartesian
0.000 1.804 0.000
0.000 5.635 0.000
0.022 1.827 5.373
0.022 5.612 5.373
2.667 1.827 2.600
2.667 5.612 2.600
2.658 0.000 0.000
0.010 0.000 2.655
0.009 3.720 2.683
2.658 3.720 0.000
2.680 3.720 5.290
2.679 0.000 5.317
```

Properties
Crystal system = monoclinic
Total magnetic moment = 0.00 μB/f.u.
Uncorrected energy = -4.018 eV per atom
Formation enthalpy at 0 K = -44 kJ/mol of atoms